[1]
Density functional theory data (PBE) for Ho3TeIrCl after structural relaxation.

Lattice parameters (Å, degrees): 8.356 4.176 9.704 90.00 95.59 90.00
Space group P2_1/m (No. 11)
Asymmetric unit:
Ho 0.136 0.250 0.322
Ho 0.147 0.250 0.892
Ho 0.294 0.750 0.618
Te 0.415 0.750 0.320
Ir 0.063 0.250 0.609
Cl 0.350 0.750 0.916

## Properties
E_form (uncorrected) in eV/atom: -1.167
Calculated density in g/cm³: 8.4
V in Å³/atom: 28.08



[2]
Density functional theory data (PBE) for Tm8Ir2Pt after structural relaxation.

Lattice parameters (Å, degrees): 17.185 4.826 6.792 90.00 107.73 90.00
Space group C2/m (No. 12)
Asymmetric unit:
Tm 0.032 0.000 0.286
Tm 0.096 0.500 0.957
Tm 0.169 0.500 0.464
Tm 0.205 0.000 0.812
Ir 0.186 0.000 0.203
Pt 0.000 0.500 0.500

## Properties
E above lowest polymorph in eV/atom: 0.000
E_form in meV/atom: -661
Calculated density in g/cm³: 12.0
V in Å³/atom: 24.39



[3]
Density functional theory data (PBE) for BaSrCdPt2 after structural relaxation.

Lattice parameters (Å, degrees): 5.491 5.491 6.423 90.00 90.00 90.00
Space group P4/mmm (No. 123)
Asymmetric unit:
Ba 0.000 0.000 0.000
Sr 0.000 0.000 0.500
Cd 0.500 0.500 0.500
Pt 0.000 0.500 0.000

## Properties
E above lowest polymorph in eV/atom: 0.458
E_form in meV/atom: 883
Calculated density in g/cm³: 6.2
V in Å³/atom: 38.73



[4]
Density functional theory data (PBE) for Mg7Si4O16 after structural relaxation.

Lattice parameters (Å, degrees): 9.915 11.801 5.680 90.00 122.23 90.00
Space group C2 (No. 5)
Asymmetric unit:
Mg 0.000 0.000 0.000
Mg 0.000 0.013 0.500
Mg 0.000 0.751 0.500
Mg 0.222 0.369 0.962
Mg 0.231 0.625 0.996
Si 0.134 0.242 0.381
Si 0.138 0.496 0.396
O 0.006 0.135 0.250
O 0.011 0.602 0.282
O 0.032 0.883 0.767
O 0.037 0.371 0.284
O 0.232 0.245 0.719
O 0.245 0.499 0.251
O 0.248 0.496 0.739
O 0.249 0.244 0.251

## Properties
E_form (uncorrected) in eV/atom: -2.579
Calculated density in g/cm³: 3.2
V in Å³/atom: 10.41



[5]
Density functional theory data (PBE) for PmNd2Sm2Er2 after structural relaxation.

Lattice parameters (Å, degrees): 11.393 5.107 8.094 90.00 98.12 90.00
Space group C2/m (No. 12)
Asymmetric unit:
Pm 0.000 0.000 0.000
Nd 0.072 0.500 0.717
Sm 0.143 0.000 0.429
Er 0.215 0.500 0.142

## Properties
E_form in meV/atom: 16
Calculated density in g/cm³: 7.6
V in Å³/atom: 33.30



[6]
Density functional theory data (PBE) for Cr3Co after structural relaxation.

Lattice parameters (Å, degrees): 4.532 4.532 4.532 90.00 90.00 90.00
Space group Pm-3m (No. 221)
Asymmetric unit:
Cr 0.000 0.000 0.500
Co 0.000 0.000 0.000

## Properties
E_form in meV/atom: 1719
Calculated density in g/cm³: 3.8
V in Å³/atom: 23.28



[7]
Density functional theory data (PBE) for RbSb2AuI after structural relaxation.

Lattice parameters (Å, degrees): 7.543 7.543 6.598 90.00 90.00 90.00
Space group P4/mmm (No. 123)
Asymmetric unit:
Rb 0.000 0.000 0.000
Sb 0.000 0.500 0.000
Au 0.500 0.500 0.500
I 0.000 0.000 0.500

## Properties
E above lowest polymorph in eV/atom: 1.196
E_form (uncorrected) in eV/atom: 1.171
Calculated density in g/cm³: 2.9
V in Å³/atom: 75.09



[8]
Density functional theory data (PBE) for Tl5TeSe3 after structural relaxation.

Lattice parameters (Å, degrees): 13.053 9.022 11.612 90.00 104.69 90.00
Space group C2/m (No. 12)
Asymmetric unit:
Tl 0.000 0.182 0.000
Tl 0.080 0.000 0.299
Tl 0.116 0.274 0.691
Tl 0.237 0.500 0.093
Te 0.119 0.500 0.318
Se 0.000 0.500 0.000
Se 0.000 0.500 0.500
Se 0.189 0.000 0.546
Se 0.227 0.000 0.152

## Properties
E_form (uncorrected) in eV/atom: -0.184
Calculated density in g/cm³: 7.0
V in Å³/atom: 36.74



[9]
Density functional theory data (PBE) for CaCdTc2 after structural relaxation.

Lattice parameters (Å, degrees): 3.517 4.283 9.670 90.00 90.00 90.00
Space group Cmmm (No. 65)
Asymmetric unit:
Ca 0.000 0.000 0.000
Cd 0.000 0.000 0.500
Tc 0.000 0.500 0.260

## Properties
E_form in meV/atom: 652
Calculated density in g/cm³: 7.9
V in Å³/atom: 18.21



[10]
Density functional theory data (PBE) for BaMg2Cr after structural relaxation.

Lattice parameters (Å, degrees): 3.613 3.637 8.609 90.00 90.00 90.00
Space group Pmmm (No. 47)
Asymmetric unit:
Ba 0.000 0.000 0.000
Mg 0.500 0.500 0.321
Cr 0.000 0.000 0.500

## Properties
E above lowest polymorph in eV/atom: 0.014
E_form in meV/atom: 347
Calculated density in g/cm³: 3.5
V in Å³/atom: 28.28



[11]
Density functional theory data (PBE) for PmYTh after structural relaxation.

Lattice parameters (Å, degrees): 3.613 3.613 15.189 90.00 90.00 90.00
Space group I4mm (No. 107)
Asymmetric unit:
Pm 0.000 0.000 0.000
Y 0.000 0.000 0.681
Th 0.000 0.000 0.339

## Properties
E above lowest polymorph in eV/atom: 0.000
E_form in meV/atom: 28
Calculated density in g/cm³: 7.8
V in Å³/atom: 33.05



[12]
Density functional theory data (PBE) for TbMg7Pb4 after structural relaxation.

Lattice parameters (Å, degrees): 12.420 5.848 10.881 90.00 123.32 90.00
Space group C2/m (No. 12)
Asymmetric unit:
Tb 0.000 0.000 0.000
Mg 0.000 0.500 0.000
Mg 0.097 0.000 0.435
Mg 0.193 0.500 0.910
Mg 0.200 0.500 0.645
Pb 0.090 0.500 0.318
Pb 0.194 0.000 0.772

## Properties
E_form in meV/atom: 98
Calculated density in g/cm³: 5.8
V in Å³/atom: 27.52



[13]
Density functional theory data (PBE) for VBSb3 after structural relaxation.

Lattice parameters (Å, degrees): 5.080 5.080 5.080 90.00 90.00 90.00
Space group Pm-3m (No. 221)
Asymmetric unit:
V 0.000 0.000 0.000
B 0.500 0.500 0.500
Sb 0.000 0.000 0.500

## Properties
E above lowest polymorph in eV/atom: 0.219
E_form (uncorrected) in eV/atom: 1.158
Calculated density in g/cm³: 5.4
V in Å³/atom: 26.21



[14]
Density functional theory data (PBE) for ReNi after structural relaxation.

Lattice parameters (Å, degrees): 5.968 5.968 5.968 90.00 90.00 90.00
Space group Fd-3m (No. 227, origin choice 2)
Asymmetric unit:
Re 0.125 0.125 0.125
Ni 0.125 0.125 0.625

## Properties
E_form in meV/atom: 156
Calculated density in g/cm³: 15.3
V in Å³/atom: 13.29



VASP energy for every record listed, in sequence, given in eV per atom: -5.765, -6.073, -2.437, -6.734, -4.677, -7.275, -1.637, -3.009, -5.260, -3.337, -6.183, -2.454, -4.475, -8.959.